Record 1
Material: ErTm2Si4Ni4
Method: DFT, PBE
State: optimized geometry

Mass density   8.2 g cm⁻³
Uncorrected energy   -6.04 eV per atom
Total magnetic moment   0.00 μB/cell

a = 7.612 Å, b = 7.612 Å, c = 7.612 Å
α = 149.60°, β = 129.10°, γ = 60.44°
Fractional positions:
Er1 0.500 0.000 0.500
Ni1 0.519 0.323 0.196
Ni2 0.873 0.677 0.196
Ni3 0.127 0.323 0.804
Ni4 0.481 0.677 0.804
Si1 0.812 0.500 0.312
Si2 0.718 0.218 0.500
Si3 0.282 0.782 0.500
Si4 0.188 0.500 0.688
Tm1 0.128 0.128 0.000
Tm2 0.872 0.872 0.000



Record 2
Material: ErTmSi4Ni2
Method: DFT, PBE
State: optimized geometry

Mass density   7.4 g cm⁻³
Uncorrected energy   -6.05 eV per atom
Total magnetic moment   0.00 μB/cell

a = 3.940 Å, b = 8.438 Å, c = 8.438 Å
α = 26.99°, β = 90.00°, γ = 90.00°
Fractional positions:
Er1 0.500 0.605 0.605
Ni1 0.000 0.176 0.176
Ni2 0.500 0.824 0.824
Si1 0.000 0.039 0.039
Si2 0.500 0.250 0.250
Si3 0.000 0.750 0.750
Si4 0.500 0.960 0.960
Tm1 0.000 0.395 0.395



Record 3
Material: ErTmSi2Ni
Method: DFT, PBE
State: optimized geometry

Mass density   8.2 g cm⁻³
Uncorrected energy   -5.92 eV per atom
Total magnetic moment   0.85 μB/cell

a = 5.464 Å, b = 5.464 Å, c = 9.911 Å
α = 115.93°, β = 115.93°, γ = 44.59°
Fractional positions:
Er1 0.189 0.189 0.106
Er2 0.811 0.811 0.894
Ni1 0.727 0.727 0.356
Ni2 0.273 0.273 0.644
Si1 0.490 0.490 0.121
Si2 0.354 0.354 0.437
Si3 0.646 0.646 0.563
Si4 0.510 0.510 0.879
Tm1 0.007 0.007 0.329
Tm2 0.993 0.993 0.671



Record 4
Material: SmErNi
Method: DFT, PBE
State: optimized geometry

Energy of formation   -135.1 meV per atom
Mass density   8.3 g cm⁻³
Uncorrected energy   -5.08 eV per atom
Total magnetic moment   0.00 μB/cell
Energy above the lowest structure with this stoichiometry   0 meV/atom

a = 4.742 Å, b = 4.742 Å, c = 4.742 Å
α = 60.00°, β = 60.00°, γ = 60.00°
Fractional positions:
Er1 0.250 0.250 0.250
Ni1 0.000 0.000 0.000
Sm1 0.750 0.750 0.750